CsNb3Tl (PBE, optimized geometry); energy of formation from the pure elements = 2508 meV per atom; raw total energy = -4.178 eV per atom
1.0
5.055 0.000 0.000
0.000 5.055 0.000
0.000 0.000 5.055
Cs Nb Tl
1 3 1
Direct
0.000 0.000 0.000 Cs
0.000 0.000 0.500 Nb
0.000 0.500 0.000 Nb
0.500 0.000 0.000 Nb
0.500 0.500 0.500 Tl


RbCrCu3 (PBE, optimized geometry); energy of formation from the pure elements = 2028 meV per atom; raw total energy = -2.548 eV per atom
1.0
5.235 0.000 0.000
0.000 5.235 0.000
0.000 0.000 5.235
Rb Cr Cu
1 1 3
Direct
0.000 0.000 0.000 Rb
0.500 0.500 0.500 Cr
0.000 0.000 0.500 Cu
0.000 0.500 0.000 Cu
0.500 0.000 0.000 Cu


NaTiO2 (PBE, optimized geometry); uncorrected formation energy = -213 kJ per mole of atoms; raw total energy = -6.989 eV per atom
1.0
3.020 0.000 0.000
-1.510 2.615 0.000
0.000 0.000 19.558
Na Ti O
3 3 6
Direct
0.000 0.000 0.000 Na
0.333 0.667 0.667 Na
0.667 0.333 0.333 Na
0.000 0.000 0.500 Ti
0.333 0.667 0.167 Ti
0.667 0.333 0.833 Ti
0.000 0.000 0.113 O
0.000 0.000 0.887 O
0.333 0.667 0.554 O
0.333 0.667 0.779 O
0.667 0.333 0.221 O
0.667 0.333 0.446 O


Mg2ScAu2 (PBE, optimized geometry); energy of formation from the pure elements = -482 meV per atom; raw total energy = -3.697 eV per atom
1.0
3.973 0.000 0.000
0.000 3.973 0.000
0.000 0.000 12.947
Mg Sc Au
4 2 4
Direct
0.000 0.500 0.250 Mg
0.000 0.500 0.750 Mg
0.500 0.000 0.250 Mg
0.500 0.000 0.750 Mg
0.000 0.000 0.000 Sc
0.500 0.500 0.500 Sc
0.000 0.000 0.395 Au
0.000 0.000 0.605 Au
0.500 0.500 0.105 Au
0.500 0.500 0.895 Au


Na2HfNpO6 (PBE, optimized geometry); uncorrected formation energy = -262 kJ per mole of atoms; raw total energy = -8.240 eV per atom
1.0
5.840 0.000 0.000
0.000 5.840 0.000
0.000 0.000 4.172
Na Hf Np O
2 1 1 6
Direct
0.000 0.500 0.000 Na
0.500 0.000 0.000 Na
0.000 0.000 0.511 Hf
0.500 0.500 0.516 Np
0.000 0.000 0.016 O
0.253 0.253 0.519 O
0.253 0.747 0.519 O
0.500 0.500 0.016 O
0.747 0.253 0.519 O
0.747 0.747 0.519 O


Cd2MoIr (PBE, optimized geometry); energy of formation from the pure elements = 870 meV per atom; raw total energy = -4.511 eV per atom
1.0
7.650 0.000 0.000
0.000 7.650 0.000
0.000 0.000 5.294
Cd Mo Ir
8 4 4
Direct
0.236 0.750 0.125 Cd
0.250 0.236 0.875 Cd
0.250 0.264 0.375 Cd
0.264 0.750 0.625 Cd
0.736 0.250 0.625 Cd
0.750 0.736 0.375 Cd
0.750 0.764 0.875 Cd
0.764 0.250 0.125 Cd
0.000 0.000 0.500 Mo
0.000 0.500 0.750 Mo
0.500 0.000 0.250 Mo
0.500 0.500 0.000 Mo
0.000 0.000 0.000 Ir
0.000 0.500 0.250 Ir
0.500 0.000 0.750 Ir
0.500 0.500 0.500 Ir


DyErBeIr (PBE, optimized geometry); energy of formation from the pure elements = -429 meV per atom; raw total energy = -5.867 eV per atom
1.0
6.819 0.000 0.000
0.000 6.819 0.000
0.000 0.000 6.819
Dy Er Be Ir
4 4 4 4
Direct
0.000 0.000 0.000 Dy
0.000 0.500 0.500 Dy
0.500 0.000 0.500 Dy
0.500 0.500 0.000 Dy
0.000 0.000 0.500 Er
0.000 0.500 0.000 Er
0.500 0.000 0.000 Er
0.500 0.500 0.500 Er
0.250 0.250 0.750 Be
0.250 0.750 0.250 Be
0.750 0.250 0.250 Be
0.750 0.750 0.750 Be
0.250 0.250 0.250 Ir
0.250 0.750 0.750 Ir
0.750 0.250 0.750 Ir
0.750 0.750 0.250 Ir


Nd8TlTe4Se3 (PBE, optimized geometry); uncorrected formation energy = -142 kJ per mole of atoms; raw total energy = -5.438 eV per atom
1.0
7.583 -4.379 0.000
7.583 4.379 0.000
-5.056 0.000 7.310
Nd Tl Te Se
8 1 4 3
Direct
0.237 0.747 0.731 Nd
0.239 0.239 0.720 Nd
0.253 0.253 0.271 Nd
0.253 0.763 0.269 Nd
0.747 0.237 0.731 Nd
0.747 0.747 0.729 Nd
0.761 0.761 0.280 Nd
0.763 0.253 0.269 Nd
0.500 0.500 0.500 Tl
0.000 0.000 0.000 Te
0.000 0.500 0.000 Te
0.500 0.000 0.000 Te
0.500 0.500 0.000 Te
0.000 0.000 0.500 Se
0.000 0.500 0.500 Se
0.500 0.000 0.500 Se


V6CoRu (PBE, optimized geometry); energy of formation from the pure elements = -221 meV per atom; raw total energy = -9.108 eV per atom
1.0
4.718 0.000 0.000
0.000 4.718 0.000
0.000 0.000 4.718
V Co Ru
6 1 1
Direct
0.000 0.247 0.500 V
0.000 0.753 0.500 V
0.247 0.500 0.000 V
0.500 0.000 0.247 V
0.500 0.000 0.753 V
0.753 0.500 0.000 V
0.000 0.000 0.000 Co
0.500 0.500 0.500 Ru


Dy2MnGa6 (PBE, optimized geometry); energy of formation from the pure elements = -516 meV per atom; raw total energy = -4.575 eV per atom
1.0
0.000 4.367 4.367
4.367 0.000 4.367
4.367 4.367 0.000
Dy Mn Ga
2 1 6
Direct
0.250 0.250 0.250 Dy
0.750 0.750 0.750 Dy
0.000 0.000 0.000 Mn
0.280 0.280 0.720 Ga
0.280 0.720 0.280 Ga
0.280 0.720 0.720 Ga
0.720 0.280 0.280 Ga
0.720 0.280 0.720 Ga
0.720 0.720 0.280 Ga


Hg5Pb2 (PBE, optimized geometry); energy of formation from the pure elements = 27 meV per atom; raw total energy = -1.248 eV per atom
1.0
2.817 1.626 7.195
-2.817 1.626 7.195
0.000 -3.253 7.195
Hg Pb
5 2
Direct
0.000 0.000 0.000 Hg
0.290 0.290 0.290 Hg
0.429 0.429 0.429 Hg
0.571 0.571 0.571 Hg
0.710 0.710 0.710 Hg
0.145 0.145 0.145 Pb
0.855 0.855 0.855 Pb


SbPt2O (PBE, optimized geometry); uncorrected formation energy = 8 kJ per mole of atoms; raw total energy = -5.204 eV per atom
1.0
6.269 0.000 0.000
0.000 6.269 0.000
0.000 0.000 6.269
Sb Pt O
4 8 4
Direct
0.000 0.000 0.000 Sb
0.000 0.500 0.500 Sb
0.500 0.000 0.500 Sb
0.500 0.500 0.000 Sb
0.250 0.250 0.250 Pt
0.250 0.250 0.750 Pt
0.250 0.750 0.250 Pt
0.250 0.750 0.750 Pt
0.750 0.250 0.250 Pt
0.750 0.250 0.750 Pt
0.750 0.750 0.250 Pt
0.750 0.750 0.750 Pt
0.000 0.000 0.500 O
0.000 0.500 0.000 O
0.500 0.000 0.000 O
0.500 0.500 0.500 O


CoHgI4 (PBE, optimized geometry); uncorrected formation energy = -15 kJ per mole of atoms; raw total energy = -2.427 eV per atom
1.0
6.597 0.000 0.000
0.000 6.597 0.000
0.000 0.000 11.774
Co Hg I
2 2 8
Direct
0.000 0.500 0.250 Co
0.500 0.000 0.750 Co
0.000 0.000 0.000 Hg
0.000 0.000 0.500 Hg
0.241 0.279 0.369 I
0.241 0.721 0.131 I
0.279 0.241 0.869 I
0.279 0.759 0.631 I
0.721 0.241 0.631 I
0.721 0.759 0.869 I
0.759 0.279 0.131 I
0.759 0.721 0.369 I